# 1
VASP calculation (PBE) on a relaxed structure of Ce2HAu.

```
Ce2HAu
1.0
3.662 0.000 0.000
1.831 3.171 0.000
1.831 1.057 7.342
Ce H Au
2 1 1
Direct
0.066 0.066 0.802
0.267 0.267 0.198
0.665 0.665 0.004
0.501 0.501 0.497
```

Properties
For the energy above the most stable polymorph in this dataset, the calculation gives 0.00 kcal/mol of atoms.

***

# 2
VASP calculation (PBE) on a relaxed structure of Ce4HAu2.

```
Ce4HAu2
1.0
-3.793 1.470 2.179
1.374 -2.153 3.844
5.087 6.929 -0.707
H Au Ce
1 2 4
Direct
0.000 0.000 0.000
0.638 0.638 0.276
0.362 0.362 0.724
0.819 0.819 0.639
0.181 0.181 0.361
0.000 0.500 0.000
0.500 0.000 0.000
```

Properties
The calculation puts the energy at -36.18 eV per cell.

***

# 3
VASP calculation (PBE) on a relaxed structure of Ce3H12Au5.

```
Ce3H12Au5
1.0
10.808 0.000 0.000
-3.603 10.190 0.000
-3.603 -5.095 8.825
Ce Au H
12 20 48
Direct
0.750 0.375 0.125
0.875 0.750 0.125
0.375 0.750 0.625
0.250 0.125 0.375
0.875 0.125 0.250
0.375 0.625 0.250
0.625 0.375 0.750
0.125 0.875 0.750
0.750 0.875 0.625
0.625 0.250 0.375
0.125 0.250 0.875
0.250 0.625 0.875
0.125 0.375 0.250
0.000 0.500 0.000
0.000 0.000 0.000
0.375 0.250 0.125
0.500 0.000 0.500
0.500 0.500 0.000
0.125 0.750 0.375
0.750 0.125 0.875
0.750 0.625 0.375
0.375 0.125 0.750
0.625 0.875 0.250
0.500 0.500 0.500
0.500 0.000 0.000
0.000 0.000 0.500
0.250 0.375 0.625
0.250 0.875 0.125
0.000 0.500 0.500
0.875 0.250 0.625
0.625 0.750 0.875
0.875 0.625 0.750
0.705 0.123 0.027
0.322 0.527 0.403
0.973 0.377 0.295
0.527 0.205 0.123
0.582 0.705 0.678
0.973 0.597 0.178
0.322 0.795 0.418
0.097 0.918 0.123
0.597 0.973 0.678
0.705 0.582 0.178
0.795 0.473 0.377
0.822 0.903 0.027
0.123 0.705 0.527
0.377 0.403 0.082
0.082 0.903 0.377
0.418 0.123 0.597
0.082 0.178 0.205
0.473 0.678 0.097
0.822 0.918 0.295
0.123 0.418 0.097
0.377 0.973 0.795
0.597 0.623 0.418
0.903 0.822 0.527
0.795 0.322 0.918
0.403 0.377 0.582
0.097 0.178 0.473
0.205 0.678 0.082
0.178 0.082 0.705
0.623 0.027 0.205
0.877 0.582 0.903
0.527 0.322 0.903
0.582 0.877 0.403
0.918 0.822 0.795
0.918 0.097 0.623
0.877 0.295 0.473
0.178 0.097 0.973
0.623 0.597 0.918
0.403 0.027 0.322
0.295 0.418 0.822
0.205 0.527 0.623
0.903 0.082 0.877
0.678 0.205 0.582
0.473 0.795 0.877
0.027 0.403 0.822
0.418 0.295 0.322
0.027 0.623 0.705
0.678 0.473 0.597
0.295 0.877 0.973
```

Properties
The calculation puts the energy at -306.54 eV per cell.

***

# 4
VASP calculation (PBE) on a relaxed structure of Ce2HAu.

```
Ce2HAu
1.0
-3.777 -1.997 0.452
-1.373 -1.141 3.909
-4.002 3.388 1.946
H Au Ce
1 1 2
Direct
0.500 0.500 0.500
0.000 0.000 0.000
0.779 0.779 0.663
0.221 0.221 0.337
```

Properties
For the energy above the most stable polymorph in this dataset, the calculation gives 0.99 kcal/mol of atoms.